KHg11 | GGA-PBE | optimized geometry

Structure (POSCAR):
```
KHg11
1.0
-0.836 -6.881 5.323
-2.419 1.176 8.315
-7.933 -2.541 2.644
Hg K
11 1
direct
0.000 0.000 0.000 Hg
0.251 0.749 0.749 Hg
0.339 0.339 0.982 Hg
0.982 0.339 0.339 Hg
0.339 0.982 0.339 Hg
0.251 0.251 0.749 Hg
0.749 0.749 0.251 Hg
0.749 0.251 0.251 Hg
0.339 0.339 0.339 Hg
0.251 0.749 0.251 Hg
0.749 0.251 0.749 Hg
0.750 0.750 0.750 K
```

Calculated values
Space-group type: F-43m, No. 216
Energy relative to the lowest polymorph listed for this composition, meV per atom: 113